Record 1
## TiTlHg (PBE-GGA)

Data for a relaxed TiTlHg crystal.

abc: 14.7981 3.2388 5.6114
angles: 90.00 90.00 90.00
With the nearest neighbours (Å) after each atom.
Atoms (fractional coordinates):
Ti (0.1604, 0.0000, 0.0000)  3 Hg 2.91, 3 Tl 3.02, 6 Ti 3.24
Ti (0.1604, 0.5000, 0.5000)  3 Hg 2.91, 3 Tl 3.02, 6 Ti 3.24
Ti (0.8396, 0.0000, 0.0000)  3 Hg 2.91, 3 Tl 3.02, 6 Ti 3.24
Ti (0.8396, 0.5000, 0.5000)  3 Hg 2.91, 3 Tl 3.02, 6 Ti 3.24
Tl (0.0000, 0.0000, 0.3333)  6 Ti 3.02, 6 Tl 3.24
Tl (0.0000, 0.5000, 0.8333)  6 Ti 3.02, 6 Tl 3.24
Tl (0.5000, 0.0000, 0.0043)  6 Tl 3.24, 6 Hg 3.35-3.37
Tl (0.5000, 0.5000, 0.5043)  6 Tl 3.24, 6 Hg 3.35-3.37
Hg (0.3109, 0.0000, 0.3334)  3 Ti 2.91, 6 Hg 3.24
Hg (0.3109, 0.5000, 0.8334)  3 Ti 2.91, 6 Hg 3.24
Hg (0.6891, 0.0000, 0.3334)  3 Ti 2.91, 6 Hg 3.24
Hg (0.6891, 0.5000, 0.8334)  3 Ti 2.91, 6 Hg 3.24

Properties
For the energy of formation from the pure elements, the calculation gives 0.169 eV per atom. The density of states at the Fermi level comes out at 1.0522 states/eV per atom.

=====

Record 2
## CsSiPd3 (PBE-GGA)

Data for a relaxed CsSiPd3 crystal.

abc: 5.2311 5.2311 5.2311
angles: 90.00 90.00 90.00
With the nearest neighbours (Å) after each atom.
Atoms (fractional coordinates):
Cs (0.0000, 0.0000, 0.0000)  6 Pd 2.62
Si (0.5000, 0.5000, 0.5000)  12 Pd 3.70
Pd (0.0000, 0.0000, 0.5000)  2 Cs 2.62
Pd (0.0000, 0.5000, 0.0000)  2 Cs 2.62
Pd (0.5000, 0.0000, 0.0000)  2 Cs 2.62

Properties
The calculation puts the energy above the most stable polymorph in this dataset at 806.9 kJ/mol of formula units. The density of states at the Fermi level comes out at 0.9330 states/eV per atom. For the formation energy without anion corrections, the calculation gives 1671 meV/atom.

=====

Record 3
## ZnSnOs2Pb (PBE-GGA)

Data for a relaxed ZnSnOs2Pb crystal.

abc: 4.9748 4.9748 4.8545
angles: 90.00 90.00 90.00
With the nearest neighbours (Å) after each atom.
Atoms (fractional coordinates):
Zn (0.0000, 0.0000, 0.0000)  2 Sn 2.43
Sn (0.0000, 0.0000, 0.5000)  2 Zn 2.43, 4 Os 2.49
Os (0.0000, 0.5000, 0.5000)  2 Sn 2.49
Os (0.5000, 0.0000, 0.5000)  2 Sn 2.49
Pb (0.5000, 0.5000, 0.0000)  8 Os 3.48, 4 Zn 3.52

Properties
The calculation puts the energy above the most stable polymorph in this dataset at 0.0 kJ/mol of formula units. For the energy of formation from the pure elements, the calculation gives 1.717 eV per atom. The density of states at the Fermi level comes out at 1.2892 states/eV per atom.

=====

Record 4
## KCdI2Br (PBE-GGA)

Data for a relaxed KCdI2Br crystal.

abc: 9.3014 4.6807 10.2261
angles: 90.00 101.13 90.00
With the nearest neighbours (Å) after each atom.
Atoms (fractional coordinates):
K (0.1571, 0.2500, 0.2181)  3 Br 3.29-3.50, 2 I 3.51
K (0.8429, 0.7500, 0.7819)  3 Br 3.29-3.50, 2 I 3.51
Cd (0.2931, 0.2500, 0.7206)  1 Br 2.64, 3 I 2.74-2.93
Cd (0.7069, 0.7500, 0.2794)  1 Br 2.64, 3 I 2.74-2.93
I (0.2158, 0.7500, 0.5492)  2 Cd 2.93
I (0.4177, 0.7500, 0.1571)  1 Cd 2.74
I (0.5823, 0.2500, 0.8429)  1 Cd 2.74
I (0.7842, 0.2500, 0.4508)  2 Cd 2.93
Br (0.0910, 0.2500, 0.8693)  1 Cd 2.64
Br (0.9090, 0.7500, 0.1307)  1 Cd 2.64

Properties
The calculation puts the energy above the most stable polymorph in this dataset at 0.0 kJ/mol of formula units. The density of states at the Fermi level comes out at 0.0000 states/eV per atom. For the formation energy without anion corrections, the calculation gives -1026 meV/atom.

=====

Record 5
## NbB2Mo (PBE-GGA)

Data for a relaxed NbB2Mo crystal.

abc: 3.1318 4.6423 6.0644
angles: 90.00 90.00 90.00
With the nearest neighbours (Å) after each atom.
Atoms (fractional coordinates):
Nb (0.0000, 0.1289, 0.0000)  7 B 2.38-2.54
Nb (0.0000, 0.8711, 0.5000)  7 B 2.38-2.54
B (0.0000, 0.3553, 0.6407)  2 B 1.85
B (0.0000, 0.6447, 0.1407)  2 B 1.85
B (0.5000, 0.1589, 0.7057)  2 B 1.85
B (0.5000, 0.8411, 0.2057)  2 B 1.85
Mo (0.5000, 0.3688, 0.3515)  7 B 2.35-2.60
Mo (0.5000, 0.6312, 0.8515)  7 B 2.35-2.60

Properties
The calculation puts the energy above the most stable polymorph in this dataset at 4.9 kJ/mol of formula units. For the energy of formation from the pure elements, the calculation gives -0.636 eV per atom. The density of states at the Fermi level comes out at 0.4707 states/eV per atom.

=====

Record 6
## CaNb4Se8 (PBE-GGA)

Data for a relaxed CaNb4Se8 crystal.

abc: 7.1351 7.1351 9.1868
angles: 122.45 122.45 60.63
With the nearest neighbours (Å) after each atom.
Atoms (fractional coordinates):
Ca (0.0000, 0.0000, 0.0000)  6 Se 2.90-2.97
Nb (0.2708, 0.2708, 0.5008)  6 Se 2.59-2.73
Nb (0.2970, 0.7030, 0.5000)  6 Se 2.60-2.73
Nb (0.7030, 0.2970, 0.5000)  6 Se 2.60-2.73
Nb (0.7292, 0.7292, 0.4992)  6 Se 2.59-2.73
Se (0.0066, 0.0066, 0.6904)  3 Nb 2.70-2.73, 1 Ca 2.90
Se (0.0270, 0.5149, 0.7277)  3 Nb 2.59-2.73
Se (0.4637, 0.4637, 0.2389)  3 Nb 2.59-2.60
Se (0.4851, 0.9730, 0.2723)  3 Nb 2.59-2.73
Se (0.5149, 0.0270, 0.7277)  3 Nb 2.59-2.73
Se (0.5363, 0.5363, 0.7611)  3 Nb 2.59-2.60
Se (0.9730, 0.4851, 0.2723)  3 Nb 2.59-2.73
Se (0.9934, 0.9934, 0.3096)  3 Nb 2.70-2.73, 1 Ca 2.90

Properties
The density of states at the Fermi level comes out at 0.5605 states/eV per atom. For the formation energy without anion corrections, the calculation gives -1003 meV/atom.